Record 1
Cs2SrOF6, optimized geometry, DFT PBE; raw total energy = -4.0810 eV/atom; M_tot = 0.069 μB/f.u.
1.0
-2.254 -5.373 1.183
3.757 -0.569 4.573
-3.269 -0.489 6.490
Cs Sr O F
2 1 1 6
direct
0.750 0.250 0.500
0.250 0.750 0.500
0.000 0.000 0.000
0.500 0.500 0.000
0.197 0.197 0.605
0.803 0.803 0.395
0.289 0.289 0.000
0.711 0.711 0.000
0.711 0.289 0.000
0.289 0.711 0.000

---

Record 2
Cs2TaOF, optimized geometry, DFT PBE; raw total energy = -4.9560 eV/atom; M_tot = 2.043 μB/f.u.
1.0
-6.074 1.203 -3.387
-1.230 -3.614 0.921
-2.835 2.484 5.966
Cs F O Ta
2 1 1 1
direct
0.000 0.000 0.500
0.500 0.000 0.000
0.500 0.500 0.500
0.000 0.500 0.000
0.000 0.000 0.000

---

Record 3
CsTaO3F, optimized geometry, DFT PBE; raw total energy = -7.0600 eV/atom; M_tot = 1.050 μB/f.u.
1.0
-4.953 0.906 -2.460
0.183 -4.417 -4.979
-3.237 -7.644 2.210
Cs Ta O F
2 2 6 2
direct
0.250 0.328 0.345
0.750 0.672 0.655
0.750 0.037 0.926
0.250 0.963 0.074
0.515 0.827 0.967
0.985 0.206 0.967
0.750 0.152 0.696
0.485 0.173 0.033
0.015 0.794 0.033
0.250 0.848 0.304
0.250 0.721 0.559
0.750 0.279 0.441

---

Record 4
Cs5TaO4F2, optimized geometry, DFT PBE; raw total energy = -5.6658 eV/atom; M_tot = 0.135 μB/f.u.
1.0
7.066 0.000 0.000
-3.533 5.575 0.000
0.000 0.000 8.466
Cs Ta O F
5 1 4 2
direct
0.080 0.363 0.236
0.410 0.000 0.500
0.080 0.363 0.764
0.717 0.637 0.764
0.717 0.637 0.236
0.413 0.000 0.000
0.570 0.000 0.180
0.570 0.000 0.820
0.397 0.275 0.000
0.122 0.725 0.000
0.951 0.571 0.500
0.379 0.429 0.500

---

Record 5
Cs2TbOF3, optimized geometry, DFT PBE; raw total energy = -5.5335 eV/atom; M_tot = 0.000 μB/f.u.
1.0
4.456 0.000 0.000
0.000 4.595 0.000
-2.228 -2.297 7.635
Cs Tb O F
2 1 1 3
direct
0.648 0.648 0.297
0.352 0.352 0.703
0.000 0.000 0.000
0.500 0.000 0.000
0.000 0.500 0.000
0.149 0.149 0.297
0.851 0.851 0.703

---

Record 6
Cs2TcOF5, optimized geometry, DFT PBE; raw total energy = -5.3090 eV/atom; M_tot = 0.047 μB/f.u.
1.0
-3.327 -3.673 4.115
-2.011 0.077 -6.119
6.017 -1.857 -1.356
Cs Tc O F
2 1 1 5
direct
0.500 0.248 0.748
0.500 0.748 0.248
0.000 0.982 0.982
0.000 0.788 0.788
0.419 0.216 0.216
0.581 0.797 0.797
0.000 0.797 0.216
0.000 0.216 0.797
0.000 0.210 0.210

---

Record 7
Cs2TcOF6, optimized geometry, DFT PBE; raw total energy = -4.8475 eV/atom; M_tot = 1.000 μB/f.u.
1.0
6.476 0.000 0.000
0.000 6.476 0.000
3.238 3.238 4.943
Cs Tc O F
2 1 1 6
direct
0.750 0.250 0.500
0.250 0.750 0.500
0.000 0.000 0.000
0.500 0.500 0.000
0.199 0.199 0.602
0.801 0.801 0.398
0.215 0.215 0.000
0.785 0.785 0.000
0.785 0.215 0.000
0.215 0.785 0.000

---

Record 8
CsTcO2F, optimized geometry, DFT PBE; raw total energy = -3.8495 eV/atom; M_tot = 5.008 μB/f.u.
1.0
4.380 0.000 0.000
0.000 4.380 0.000
0.000 0.000 4.934
Cs Tc O F
1 1 2 1
direct
0.000 0.000 0.000
0.500 0.500 0.500
0.000 0.500 0.000
0.500 0.000 0.000
0.000 0.000 0.500

---

Record 9
CsTcO2F, optimized geometry, DFT PBE; raw total energy = -6.1811 eV/atom; M_tot = 0.000 μB/f.u.
1.0
3.931 0.000 0.000
0.000 3.931 0.000
0.000 0.000 4.865
Cs Tc O F
1 1 2 1
direct
0.500 0.500 0.500
0.000 0.000 0.000
0.000 0.500 0.000
0.500 0.000 0.000
0.000 0.000 0.500

---

Record 10
CsTc2O6F, optimized geometry, DFT PBE; raw total energy = -6.8038 eV/atom; M_tot = 0.000 μB/f.u.
1.0
8.033 -1.687 0.805
-2.658 7.766 0.805
-0.762 -0.861 5.795
Cs Tc O F
2 4 12 2
direct
0.160 0.840 0.250
0.840 0.160 0.750
0.405 0.249 0.750
0.751 0.595 0.750
0.595 0.751 0.250
0.249 0.405 0.250
0.025 0.368 0.250
0.632 0.975 0.250
0.975 0.632 0.750
0.368 0.025 0.750
0.241 0.241 0.000
0.759 0.759 0.500
0.759 0.759 0.000
0.241 0.241 0.500
0.377 0.623 0.443
0.377 0.623 0.057
0.623 0.377 0.557
0.623 0.377 0.943
0.529 0.471 0.250
0.471 0.529 0.750

---

Record 11
Cs2TeOF5, optimized geometry, DFT PBE; raw total energy = -4.3531 eV/atom; M_tot = 1.018 μB/f.u.
1.0
6.781 -0.241 -0.349
-3.432 5.853 0.349
-3.432 -1.758 5.593
Cs Te O F
2 1 1 5
direct
0.500 0.243 0.743
0.500 0.743 0.243
0.000 0.987 0.987
0.000 0.802 0.802
0.441 0.225 0.225
0.559 0.785 0.785
0.000 0.785 0.225
0.000 0.225 0.785
0.000 0.204 0.204

---

Record 12
Cs2TeOF4, optimized geometry, DFT PBE; raw total energy = -4.4873 eV/atom; M_tot = 0.144 μB/f.u.
1.0
-1.293 3.951 -7.195
5.787 -5.497 2.311
-4.296 -5.458 -2.225
Cs Te O F
4 2 2 8
direct
0.435 0.565 0.250
0.244 0.756 0.750
0.756 0.244 0.250
0.565 0.435 0.750
0.111 0.889 0.250
0.889 0.111 0.750
0.231 0.769 0.250
0.769 0.231 0.750
0.335 0.111 0.048
0.665 0.889 0.952
0.889 0.665 0.452
0.111 0.335 0.952
0.665 0.889 0.548
0.889 0.665 0.048
0.111 0.335 0.548
0.335 0.111 0.452

---

What is the formula in the sixth record?
Cs2TcOF5